(1)
Computed, not measured: a relaxed BaZrCr crystal at the PBE-GGA level of DFT.

Properties
Distance to the lowest polymorph of the same formula = 0.180 eV per atom
Formation enthalpy at 0 K = 0.845 eV/atom
D(E_F) = 3.21 states/eV/f.u.
Spin magnetization = 3.08 μB per formula unit
Space group = P3m1

Lattice parameters (Å, degrees): 3.4626 3.4626 7.9816 90.00 90.00 120.00
Closest atoms and distances in Å follow each position.
Fractional coordinates of all 3 atoms:
Ba (0.0000, 0.0000, 0.0000)  3 Cr 3.44, 6 Ba 3.46, 3 Zr 3.80
Zr (0.3333, 0.6667, 0.5948)  3 Cr 2.79
Cr (0.6667, 0.3333, 0.3513)  3 Zr 2.79



(2)
Computed, not measured: a relaxed Zn2Bi2Te crystal at the PBE-GGA level of DFT.

Properties
Distance to the lowest polymorph of the same formula = 0.071 eV per atom
E_form (uncorrected) = 0.177 eV per atom
D(E_F) = 2.17 states/eV/f.u.
Spin magnetization = 0.00 μB per formula unit
Space group = P4/mbm

Lattice parameters (Å, degrees): 8.0904 8.0904 3.9086 90.00 90.00 90.00
Closest atoms and distances in Å follow each position.
Fractional coordinates of all 10 atoms:
Zn (0.1094, 0.3906, 0.0000)  1 Zn 2.50
Zn (0.3906, 0.8906, 0.0000)  1 Zn 2.50
Zn (0.6094, 0.1094, 0.0000)  1 Zn 2.50
Zn (0.8906, 0.6094, 0.0000)  1 Zn 2.50
Bi (0.2018, 0.7018, 0.5000)  2 Zn 2.91
Bi (0.2982, 0.2018, 0.5000)  2 Zn 2.91
Bi (0.7018, 0.7982, 0.5000)  2 Zn 2.91
Bi (0.7982, 0.2982, 0.5000)  2 Zn 2.91
Te (0.0000, 0.0000, 0.0000)  4 Zn 3.28, 8 Bi 3.51
Te (0.5000, 0.5000, 0.0000)  4 Zn 3.28, 8 Bi 3.51



(3)
Computed, not measured: a relaxed LiTbSc4Se8 crystal at the PBE-GGA level of DFT.

Properties
E_form (uncorrected) = -1.652 eV per atom
Spin magnetization = 0.00 μB per formula unit
Space group = R3m

Lattice parameters (Å, degrees): 8.0935 8.0935 8.0935 58.94 58.94 58.94
Closest atoms and distances in Å follow each position.
Fractional coordinates of all 14 atoms:
Li (0.0000, 0.0000, 0.0000)  4 Se 2.57-2.61
Tb (0.6305, 0.6305, 0.6305)  6 Se 2.82-2.90
Sc (0.1080, 0.6329, 0.6329)  6 Se 2.66-2.81
Sc (0.2545, 0.2545, 0.2545)  4 Se 2.58-2.63
Sc (0.6329, 0.1080, 0.6329)  6 Se 2.66-2.81
Sc (0.6329, 0.6329, 0.1080)  6 Se 2.66-2.81
Se (0.3758, 0.3758, 0.8592)  3 Sc 2.58-2.81
Se (0.3758, 0.8592, 0.3758)  3 Sc 2.58-2.81
Se (0.3859, 0.3859, 0.3859)  4 Sc 2.63-2.81
Se (0.3929, 0.8788, 0.8788)  1 Li 2.57, 2 Sc 2.66, 1 Tb 2.82
Se (0.8592, 0.3758, 0.3758)  3 Sc 2.58-2.81
Se (0.8692, 0.8692, 0.8692)  1 Li 2.61, 3 Sc 2.68
Se (0.8788, 0.3929, 0.8788)  1 Li 2.57, 2 Sc 2.66, 1 Tb 2.82
Se (0.8788, 0.8788, 0.3929)  1 Li 2.57, 2 Sc 2.66, 1 Tb 2.82



(4)
Computed, not measured: a relaxed GaBPt3 crystal at the PBE-GGA level of DFT.

Properties
Distance to the lowest polymorph of the same formula = 0.333 eV per atom
Formation enthalpy at 0 K = -0.090 eV/atom
D(E_F) = 4.79 states/eV/f.u.
Spin magnetization = 0.00 μB per formula unit
Space group = Pm-3m

Lattice parameters (Å, degrees): 4.2169 4.2169 4.2169 90.00 90.00 90.00
Closest atoms and distances in Å follow each position.
Fractional coordinates of all 5 atoms:
Ga (0.0000, 0.0000, 0.0000)  12 Pt 2.98
B (0.5000, 0.5000, 0.5000)  6 Pt 2.11
Pt (0.0000, 0.5000, 0.5000)  2 B 2.11
Pt (0.5000, 0.0000, 0.5000)  2 B 2.11
Pt (0.5000, 0.5000, 0.0000)  2 B 2.11



(5)
Computed, not measured: a relaxed BaMgBe2Cl8 crystal at the PBE-GGA level of DFT.

Properties
E_form (uncorrected) = -1.771 eV per atom
D(E_F) = 0.00 states/eV/f.u.
Spin magnetization = 0.00 μB per formula unit
Space group = R-3

Lattice parameters (Å, degrees): 9.3833 9.3833 9.3833 37.45 37.45 37.45
Closest atoms and distances in Å follow each position.
Fractional coordinates of all 12 atoms:
Ba (0.0000, 0.0000, 0.0000)  12 Cl 3.49-3.50
Mg (0.5000, 0.5000, 0.5000)  6 Cl 2.54
Be (0.2470, 0.2470, 0.2470)  4 Cl 2.02-2.03
Be (0.7530, 0.7530, 0.7530)  4 Cl 2.02-2.03
Cl (0.0979, 0.7761, 0.4520)  1 Be 2.03
Cl (0.2239, 0.5480, 0.9021)  1 Be 2.03
Cl (0.3244, 0.3244, 0.3244)  1 Be 2.02
Cl (0.4520, 0.0979, 0.7761)  1 Be 2.03
Cl (0.5480, 0.9021, 0.2239)  1 Be 2.03
Cl (0.6756, 0.6756, 0.6756)  1 Be 2.02
Cl (0.7761, 0.4520, 0.0979)  1 Be 2.03
Cl (0.9021, 0.2239, 0.5480)  1 Be 2.03



(6)
Computed, not measured: a relaxed Sn5Pb3Br16 crystal at the PBE-GGA level of DFT.

Properties
E_form (uncorrected) = -0.817 eV per atom
D(E_F) = 0.00 states/eV/f.u.
Spin magnetization = 0.00 μB per formula unit
Space group = Cm

Lattice parameters (Å, degrees): 8.8914 8.8914 13.7009 90.29 90.29 59.92
Closest atoms and distances in Å follow each position.
Fractional coordinates of all 24 atoms:
Sn (0.0000, 0.0000, 0.0000)  6 Br 3.00-3.05
Sn (0.3327, 0.8330, 0.5002)  6 Br 3.00-3.05
Sn (0.5019, 0.5019, 0.2365)  6 Br 2.97-3.06
Sn (0.8330, 0.3327, 0.5002)  6 Br 3.00-3.05
Sn (0.8349, 0.8349, 0.7351)  6 Br 2.96-3.06
Pb (0.9999, 0.5000, 0.0004)  6 Br 3.04-3.10
Pb (0.3328, 0.3328, 0.5005)  6 Br 3.05-3.10
Pb (0.5000, 0.9999, 0.0004)  6 Br 3.04-3.10
Br (0.0021, 0.0021, 0.6157)  3 Sn 3.00-3.06
Br (0.1410, 0.6825, 0.8676)  2 Sn 2.97-3.04, 1 Pb 3.10
Br (0.1626, 0.1626, 0.3799)  2 Sn 3.03, 1 Pb 3.09
Br (0.1627, 0.1627, 0.8786)  1 Sn 3.02, 2 Pb 3.08
Br (0.1940, 0.6569, 0.3677)  2 Sn 2.98-3.03, 1 Pb 3.10
Br (0.3289, 0.8375, 0.1186)  2 Sn 3.00-3.05, 1 Pb 3.05
Br (0.3304, 0.3304, 0.1228)  2 Pb 3.04, 1 Sn 3.06
Br (0.4950, 0.9994, 0.6199)  2 Sn 3.01-3.05, 1 Pb 3.05
Br (0.5014, 0.5014, 0.6205)  2 Sn 3.04, 1 Pb 3.07
Br (0.6539, 0.6539, 0.3708)  3 Sn 2.97-3.05
Br (0.6569, 0.1940, 0.3677)  2 Sn 2.98-3.03, 1 Pb 3.10
Br (0.6809, 0.6809, 0.8637)  1 Sn 2.96, 2 Pb 3.09
Br (0.6825, 0.1410, 0.8676)  2 Sn 2.97-3.04, 1 Pb 3.10
Br (0.8349, 0.8349, 0.1221)  1 Sn 3.05, 2 Pb 3.07
Br (0.8375, 0.3289, 0.1186)  2 Sn 3.00-3.05, 1 Pb 3.05
Br (0.9994, 0.4950, 0.6199)  2 Sn 3.01-3.05, 1 Pb 3.05



(7)
Computed, not measured: a relaxed ReMo4W3 crystal at the PBE-GGA level of DFT.

Properties
Distance to the lowest polymorph of the same formula = 0.409 eV per atom
Formation enthalpy at 0 K = 0.421 eV/atom
D(E_F) = 7.28 states/eV/f.u.
Spin magnetization = 0.00 μB per formula unit
Space group = Immm

Lattice parameters (Å, degrees): 7.2155 7.2155 7.2155 159.12 99.75 84.05
Closest atoms and distances in Å follow each position.
Fractional coordinates of all 8 atoms:
Re (0.0000, 0.0000, 0.0000)  2 Re 2.62, 4 Mo 2.70
Mo (0.1245, 0.8733, 0.2512)  3 Mo 2.62-2.72, 1 W 2.69, 1 Re 2.70
Mo (0.3779, 0.1267, 0.2512)  3 Mo 2.62-2.72, 1 W 2.69, 1 Re 2.70
Mo (0.6221, 0.8733, 0.7488)  3 Mo 2.62-2.72, 1 W 2.69, 1 Re 2.70
Mo (0.8755, 0.1267, 0.7488)  3 Mo 2.62-2.72, 1 W 2.69, 1 Re 2.70
W (0.2458, 0.7458, 0.5000)  2 W 2.62, 2 Mo 2.69
W (0.5000, 0.5000, 0.0000)  2 W 2.62
W (0.7542, 0.2542, 0.5000)  2 W 2.62, 2 Mo 2.69



(8)
Computed, not measured: a relaxed Li2Ta crystal at the PBE-GGA level of DFT.

Properties
Distance to the lowest polymorph of the same formula = 0.280 eV per atom
Formation enthalpy at 0 K = 0.562 eV/atom
D(E_F) = 1.87 states/eV/f.u.
Spin magnetization = 0.00 μB per formula unit
Space group = P6/mmm

Lattice parameters (Å, degrees): 4.6848 4.6848 2.6148 90.00 90.00 120.00
Closest atoms and distances in Å follow each position.
Fractional coordinates of all 3 atoms:
Li (0.3333, 0.6667, 0.0000)  5 Li 2.61-2.70
Li (0.6667, 0.3333, 0.0000)  5 Li 2.61-2.70
Ta (0.0000, 0.0000, 0.5000)  2 Ta 2.61



(9)
Computed, not measured: a relaxed YScSe3 crystal at the PBE-GGA level of DFT.

Properties
E_form (uncorrected) = -1.784 eV per atom
D(E_F) = 0.00 states/eV/f.u.
Spin magnetization = 0.00 μB per formula unit
Space group = C2

Lattice parameters (Å, degrees): 6.9300 6.9300 6.7590 99.97 99.97 119.44
Closest atoms and distances in Å follow each position.
Fractional coordinates of all 10 atoms:
Y (0.0000, 0.0000, 0.0000)  6 Se 2.82-2.92
Y (0.6682, 0.3318, 0.0000)  6 Se 2.84-2.87
Sc (0.3335, 0.6665, 0.0000)  6 Se 2.71-2.84
Sc (0.5014, 0.4986, 0.5000)  6 Se 2.72-2.76
Se (0.1054, 0.4343, 0.2502)  2 Sc 2.71-2.74, 2 Y 2.85-2.87
Se (0.2549, 0.2710, 0.7452)  2 Sc 2.71-2.72, 2 Y 2.86-2.92
Se (0.4183, 0.0869, 0.2570)  2 Sc 2.76-2.84, 2 Y 2.82-2.84
Se (0.5657, 0.8946, 0.7498)  2 Sc 2.71-2.74, 2 Y 2.85-2.87
Se (0.7290, 0.7451, 0.2548)  2 Sc 2.71-2.72, 2 Y 2.86-2.92
Se (0.9131, 0.5817, 0.7430)  2 Sc 2.76-2.84, 2 Y 2.82-2.84



(10)
Computed, not measured: a relaxed RbTlInHg crystal at the PBE-GGA level of DFT.

Properties
Distance to the lowest polymorph of the same formula = 0.066 eV per atom
Formation enthalpy at 0 K = -0.031 eV/atom
D(E_F) = 3.78 states/eV/f.u.
Spin magnetization = 0.00 μB per formula unit
Space group = F-43m

Lattice parameters (Å, degrees): 5.6866 5.6866 5.6866 60.00 60.00 60.00
Closest atoms and distances in Å follow each position.
Fractional coordinates of all 4 atoms:
Rb (0.0000, 0.0000, 0.0000)  4 Hg 3.48, 4 Tl 3.48
Tl (0.7500, 0.7500, 0.7500)  4 In 3.48, 4 Rb 3.48
In (0.5000, 0.5000, 0.5000)  4 Hg 3.48, 4 Tl 3.48
Hg (0.2500, 0.2500, 0.2500)  4 In 3.48, 4 Rb 3.48



(11)
Computed, not measured: a relaxed GdDyCo4 crystal at the PBE-GGA level of DFT.

Properties
Formation enthalpy at 0 K = -0.172 eV/atom
D(E_F) = 8.16 states/eV/f.u.
Spin magnetization = 10.76 μB per formula unit
Space group = F-43m

Lattice parameters (Å, degrees): 5.0773 5.0773 5.0773 60.00 60.00 60.00
Closest atoms and distances in Å follow each position.
Fractional coordinates of all 6 atoms:
Gd (0.0000, 0.0000, 0.0000)  12 Co 2.98, 4 Dy 3.11
Dy (0.7500, 0.7500, 0.7500)  12 Co 2.98, 4 Gd 3.11
Co (0.3751, 0.3751, 0.3751)  6 Co 2.54
Co (0.3751, 0.3751, 0.8746)  6 Co 2.54
Co (0.3751, 0.8746, 0.3751)  6 Co 2.54
Co (0.8746, 0.3751, 0.3751)  6 Co 2.54



Please write out number 3 again, unchanged.
Computed, not measured: a relaxed LiTbSc4Se8 crystal at the PBE-GGA level of DFT.

Properties
E_form (uncorrected) = -1.652 eV per atom
Spin magnetization = 0.00 μB per formula unit
Space group = R3m

Lattice parameters (Å, degrees): 8.0935 8.0935 8.0935 58.94 58.94 58.94
Closest atoms and distances in Å follow each position.
Fractional coordinates of all 14 atoms:
Li (0.0000, 0.0000, 0.0000)  4 Se 2.57-2.61
Tb (0.6305, 0.6305, 0.6305)  6 Se 2.82-2.90
Sc (0.1080, 0.6329, 0.6329)  6 Se 2.66-2.81
Sc (0.2545, 0.2545, 0.2545)  4 Se 2.58-2.63
Sc (0.6329, 0.1080, 0.6329)  6 Se 2.66-2.81
Sc (0.6329, 0.6329, 0.1080)  6 Se 2.66-2.81
Se (0.3758, 0.3758, 0.8592)  3 Sc 2.58-2.81
Se (0.3758, 0.8592, 0.3758)  3 Sc 2.58-2.81
Se (0.3859, 0.3859, 0.3859)  4 Sc 2.63-2.81
Se (0.3929, 0.8788, 0.8788)  1 Li 2.57, 2 Sc 2.66, 1 Tb 2.82
Se (0.8592, 0.3758, 0.3758)  3 Sc 2.58-2.81
Se (0.8692, 0.8692, 0.8692)  1 Li 2.61, 3 Sc 2.68
Se (0.8788, 0.3929, 0.8788)  1 Li 2.57, 2 Sc 2.66, 1 Tb 2.82
Se (0.8788, 0.8788, 0.3929)  1 Li 2.57, 2 Sc 2.66, 1 Tb 2.82



> spin magnetization of number 6 (Sn5Pb3Br16)?

0.00 μB per formula unit